## LiCePr2Se4 (PBE)

Data for a geometry-optimized LiCePr2Se4 structure.

Calculated values
E_tot, eV/atom: -5.67
Total magnetization, μB per formula unit: 1.14
Uncorrected formation energy, eV/f.u.: -14.0

a = 7.253 Å, b = 4.207 Å, c = 7.290 Å
α = 90.00°, β = 109.48°, γ = 90.00°
Element x y z (fractional)
Li 0.000 0.000 0.000
Ce 0.500 0.500 0.000
Pr 0.000 0.500 0.500
Pr 0.500 0.000 0.500
Se 0.241 0.500 0.237
Se 0.246 0.000 0.760
Se 0.754 0.000 0.240
Se 0.759 0.500 0.763

***

## YCu2Se (PBE)

Data for a geometry-optimized YCu2Se structure.

Calculated values
E_tot, eV/atom: -4.91
Total magnetization, μB per formula unit: 0.00
Uncorrected formation energy, eV/f.u.: -1.5

a = 4.802 Å, b = 4.802 Å, c = 4.802 Å
α = 128.42°, β = 111.81°, γ = 90.41°
Element x y z (fractional)
Y 0.000 0.000 0.000
Cu 0.511 0.511 0.000
Cu 0.712 0.212 0.500
Se 0.317 0.817 0.500

***

## NaMgGa2 (PBE)

Data for a geometry-optimized NaMgGa2 structure.

Calculated values
E_tot, eV/atom: -2.34
Calculated formation energy, eV per atom: -0.0937
Total magnetization, μB per formula unit: 0.00

a = 5.865 Å, b = 5.865 Å, c = 6.959 Å
α = 90.00°, β = 90.00°, γ = 132.74°
Element x y z (fractional)
Na 0.080 0.920 0.750
Na 0.920 0.080 0.250
Mg 0.217 0.783 0.250
Mg 0.783 0.217 0.750
Ga 0.386 0.614 0.564
Ga 0.386 0.614 0.936
Ga 0.614 0.386 0.064
Ga 0.614 0.386 0.436

***

## Pr3Ho12Mg (PBE)

Data for a geometry-optimized Pr3Ho12Mg structure.

Calculated values
E_tot, eV/atom: -4.40
Calculated formation energy, eV per atom: 0.0263
Total magnetization, μB per formula unit: 0.00

a = 5.014 Å, b = 5.014 Å, c = 20.065 Å
α = 90.00°, β = 90.00°, γ = 90.00°
Element x y z (fractional)
Pr 0.000 0.000 0.000
Pr 0.000 0.000 0.253
Pr 0.000 0.000 0.747
Ho 0.000 0.500 0.127
Ho 0.000 0.500 0.379
Ho 0.000 0.500 0.621
Ho 0.000 0.500 0.873
Ho 0.500 0.000 0.127
Ho 0.500 0.000 0.379
Ho 0.500 0.000 0.621
Ho 0.500 0.000 0.873
Ho 0.500 0.500 0.000
Ho 0.500 0.500 0.256
Ho 0.500 0.500 0.500
Ho 0.500 0.500 0.744
Mg 0.000 0.000 0.500

***

## InGePd6 (PBE)

Data for a geometry-optimized InGePd6 structure.

Calculated values
E_tot, eV/atom: -5.22
Calculated formation energy, eV per atom: -0.4040
Total magnetization, μB per formula unit: 0.00
Offset from the most stable computed form, meV/atom: 0.0

a = 3.992 Å, b = 3.992 Å, c = 7.942 Å
α = 90.00°, β = 90.00°, γ = 90.00°
Element x y z (fractional)
In 0.000 0.000 0.000
Ge 0.000 0.000 0.500
Pd 0.000 0.500 0.260
Pd 0.000 0.500 0.740
Pd 0.500 0.000 0.260
Pd 0.500 0.000 0.740
Pd 0.500 0.500 0.000
Pd 0.500 0.500 0.500

***

## MnCoSb2 (PBE)

Data for a geometry-optimized MnCoSb2 structure.

Calculated values
E_tot, eV/atom: -6.00
Total magnetization, μB per formula unit: 3.75
Offset from the most stable computed form, meV/atom: 74.6
Uncorrected formation energy, eV/f.u.: 0.5

a = 6.577 Å, b = 6.577 Å, c = 6.577 Å
α = 152.94°, β = 144.58°, γ = 45.14°
Element x y z (fractional)
Mn 0.000 0.000 0.000
Co 0.797 0.297 0.500
Sb 0.348 0.848 0.500
Sb 0.616 0.616 0.000